VASP calculation (PBE-GGA) on a relaxed structure of K2DyPCO7.

```
data_K2DyPCO7
_chemical_formula_sum 'K4 Dy2 P2 C2 O14'
_space_group_name_H-M_alt 'P 1'
_space_group_IT_number 1
_space_group_name_Hall 'P 1'
_cell_length_a 7.1364
_cell_length_b 5.7824
_cell_length_c 10.0887
_cell_angle_alpha 89.86
_cell_angle_beta 90.00
_cell_angle_gamma 90.00
loop_
_atom_site_label
_atom_site_type_symbol
_atom_site_fract_x
_atom_site_fract_y
_atom_site_fract_z
O1 O 0.7500 0.5546 0.4466
P1 P 0.7500 0.2845 0.4344
Dy1 Dy 0.7500 0.7935 0.6226
O2 O 0.7500 0.9484 0.8390
O3 O 0.2500 0.8252 0.4234
O4 O 0.2500 0.0516 0.1610
O5 O 0.5703 0.2052 0.3607
K1 K 0.5150 0.7436 0.2147
O6 O 0.7500 0.7099 0.0182
O7 O 0.0703 0.7948 0.6393
O8 O 0.9297 0.2052 0.3607
O9 O 0.2500 0.4454 0.5534
Dy2 Dy 0.2500 0.2065 0.3774
O10 O 0.2500 0.2901 0.9818
O11 O 0.7500 0.1748 0.5766
O12 O 0.2500 0.4315 0.1911
K2 K 0.4850 0.2564 0.7853
O13 O 0.4297 0.7948 0.6393
P2 P 0.2500 0.7155 0.5656
K3 K 0.9850 0.7436 0.2147
K4 K 0.0150 0.2564 0.7853
C1 C 0.2500 0.2573 0.1052
C2 C 0.7500 0.7427 0.8948
O14 O 0.7500 0.5685 0.8089
```

Summary:
Formation energy without anion corrections = -2.388 eV/atom
Symmetry = P2_1/m, No. 11
Size of the total moment = 0.08 Bohr magnetons per cell